Here is a relaxed structure of Zr2BeNi from Alexandria via LeMat-Bulk. Energies are from PBE-GGA. Values from VASP.

Calculated values
- E (eV/atom) = -6.79
- DOS(E_F) (states/eV per cell) = 2.87
- total magnetization (Bohr magnetons per cell) = 0.00

Cell and atoms, written as Quantum ESPRESSO input:
```
&SYSTEM
  ibrav = 0, nat = 4, ntyp = 3
/
ATOMIC_SPECIES
Zr 91.22 Zr.upf
Be 9.01 Be.upf
Ni 58.69 Ni.upf
ATOMIC_POSITIONS angstrom
Zr 0.0000 0.0000 0.0000
Zr 1.5464 1.5464 2.2596
Be 0.0000 0.0000 4.0827
Ni 1.5464 1.5464 5.0338
CELL_PARAMETERS angstrom
3.0928 0.0000 0.0000
0.0000 3.0928 0.0000
0.0000 0.0000 6.8048
```